1.
Material: PbClF
Method: DFT, PBE
State: optimized geometry

The uncorrected formation energy is -5.245 eV per formula unit.

It has space group R3m (No. 160, hexagonal axes), with a = 4.2500 Å, b = 4.2500 Å, c = 14.3350 Å, α = 90.00°, β = 90.00° and γ = 120.00°. The asymmetric unit holds Pb at (0.0000, 0.0000, 0.0000), Cl at (0.0000, 0.0000, 0.7914) and F at (0.0000, 0.0000, 0.2993).


2.
Material: Dy2HoTi
Method: DFT, PBE
State: optimized geometry

Its calculated formation energy is 164 meV per atom. The polymorph energy (0 for the lowest one) is 0.000 eV per formula unit.

It has space group P4/mmm (No. 123), with a = 3.3970 Å, b = 3.3970 Å, c = 9.4637 Å, α = 90.00°, β = 90.00° and γ = 90.00°. The asymmetric unit holds Dy at (0.0000, 0.0000, 0.2208), Ho at (0.5000, 0.5000, 0.5000) and Ti at (0.5000, 0.5000, 0.0000).


3.
Material: Tb3AuSe3
Method: DFT, PBE
State: optimized geometry

The uncorrected formation energy is -10.266 eV per formula unit.

It has space group R-3 (No. 148, hexagonal axes), with a = 8.6001 Å, b = 8.6001 Å, c = 17.3043 Å, α = 90.00°, β = 90.00° and γ = 120.00°. The asymmetric unit holds Tb at (0.0054, 0.3716, 0.4175), Au at (0.0000, 0.0000, 0.1571) and Se at (0.0059, 0.2890, 0.5868).


4.
Material: CaPrCu2O5
Method: DFT, PBE
State: optimized geometry

The uncorrected formation energy is -16.212 eV per formula unit.

It has space group P4/mmm (No. 123), with a = 3.8456 Å, b = 3.8456 Å, c = 7.0552 Å, α = 90.00°, β = 90.00° and γ = 90.00°. The asymmetric unit holds Ca at (0.0000, 0.0000, 0.0000), Pr at (0.0000, 0.0000, 0.5000), Cu at (0.5000, 0.5000, 0.2164), O at (0.0000, 0.5000, 0.2234) and O at (0.5000, 0.5000, 0.5000).


5.
Material: AgAs2
Method: DFT, PBE
State: optimized geometry

Its calculated formation energy is 292 meV per atom.

It has space group Fm-3m (No. 225), with a = 6.3723 Å, b = 6.3723 Å, c = 6.3723 Å, α = 90.00°, β = 90.00° and γ = 90.00°. The asymmetric unit holds Ag at (0.0000, 0.0000, 0.0000) and As at (0.2500, 0.2500, 0.2500).


6.
Material: SrAsCl
Method: DFT, PBE
State: optimized geometry

The uncorrected formation energy is -1.949 eV per formula unit. The polymorph energy (0 for the lowest one) is 1.091 eV per formula unit.

It has space group F-43m (No. 216), with a = 7.1833 Å, b = 7.1833 Å, c = 7.1833 Å, α = 90.00°, β = 90.00° and γ = 90.00°. The asymmetric unit holds Sr at (0.0000, 0.0000, 0.0000), As at (0.0000, 0.0000, 0.5000) and Cl at (0.2500, 0.2500, 0.7500).


7.
Material: TlHg11
Method: DFT, PBE
State: optimized geometry

Its calculated formation energy is 0 meV per atom.

It has space group P6/mmm (No. 191), with a = 10.8856 Å, b = 10.8856 Å, c = 3.2665 Å, α = 90.00°, β = 90.00° and γ = 120.00°. The asymmetric unit holds Tl at (0.0000, 0.0000, 0.0000), Hg at (0.0000, 0.5000, 0.0000), Hg at (0.1729, 0.3459, 0.5000) and Hg at (0.3333, 0.6667, 0.0000).


8.
Material: HoTm2PuP4
Method: DFT, PBE
State: optimized geometry

Its calculated formation energy is -1484 meV per atom.

It has space group P2/m (No. 10), with a = 6.8582 Å, b = 3.9759 Å, c = 6.8632 Å, α = 90.00°, β = 109.51° and γ = 90.00°. The asymmetric unit holds Ho at (0.0000, 0.0000, 0.0000), Tm at (0.5000, 0.0000, 0.5000), Tm at (0.5000, 0.5000, 0.0000), Pu at (0.0000, 0.5000, 0.5000), P at (0.2502, 0.0000, 0.7485) and P at (0.2514, 0.5000, 0.2519).


Number 1: V 24.92 Å³ per atom, energy -4.224 eV per atom. Number 2: V 27.30 Å³ per atom, energy -5.256 eV per atom. Number 3: V 26.39 Å³ per atom, energy -5.413 eV per atom. Number 4: V 11.59 Å³ per atom, energy -6.220 eV per atom. Number 5: V 21.56 Å³ per atom, energy -3.759 eV per atom. Number 6: V 30.89 Å³ per atom, energy -3.376 eV per atom. Number 7: V 27.93 Å³ per atom, energy -0.473 eV per atom. Number 8: V 22.05 Å³ per atom, energy -7.671 eV per atom.